TaW2O8 GGA+U relaxed; size of the total moment = 2.00 μB/cell; DOS(E_F) = 0.053 states/eV/atom; volume = 13.03 Å³ per atom; polymorph energy (0 for the lowest one) = 0 meV/atom
1.0
5.1961 0.0000 0.0000
0.0000 5.8680 0.0000
-5.0536 0.0000 9.4035
Ta W O
2 4 16
Direct
0.0000 0.1029 0.2500 Ta
0.0000 0.8971 0.7500 Ta
0.2512 0.3569 0.0128 W
0.2512 0.6431 0.5128 W
0.7488 0.3569 0.4872 W
0.7488 0.6431 0.9872 W
0.1688 0.3930 0.6093 O
0.1688 0.6070 0.1093 O
0.2104 0.1534 0.1411 O
0.2104 0.8466 0.6411 O
0.2444 0.1171 0.8828 O
0.2444 0.8829 0.3828 O
0.3169 0.3750 0.3915 O
0.3169 0.6250 0.8915 O
0.6831 0.3750 0.1085 O
0.6831 0.6250 0.6085 O
0.7556 0.1171 0.6172 O
0.7556 0.8829 0.1172 O
0.7896 0.1534 0.3589 O
0.7896 0.8466 0.8589 O
0.8312 0.3930 0.8907 O
0.8312 0.6070 0.3907 O